Entry 1:
NaYZn2Pd: relaxed, PBE.

Cell lengths 4.9876, 4.9876, 5.1718 Å; angles 90.00, 90.00, 90.00 degrees
Atoms (fractional coordinates):
Na1 0.0000 0.0000 0.0000
Y1 0.5000 0.5000 0.0000
Zn1 0.0000 0.5000 0.5000
Zn2 0.5000 0.0000 0.5000
Pd1 0.5000 0.5000 0.5000

Computed properties:
- DOS at the Fermi energy (states/eV per atom) = 0.6652
- size of the total moment (μB per cell) = 0.00
- crystal system = tetragonal
- calculated formation energy (meV per atom) = -90.1

Entry 2:
Mg2ScPd: relaxed, PBE.

Cell lengths 4.7588, 4.7588, 4.7588 Å; angles 60.00, 60.00, 60.00 degrees
Atoms (fractional coordinates):
Mg1 0.0000 0.0000 0.0000
Mg2 0.2500 0.2500 0.2500
Sc1 0.7500 0.7500 0.7500
Pd1 0.5000 0.5000 0.5000

Computed properties:
- DOS at the Fermi energy (states/eV per atom) = 1.0158
- size of the total moment (μB per cell) = 0.00
- crystal system = cubic
- calculated formation energy (meV per atom) = -403.0

Entry 3:
SrNi2Sb: relaxed, PBE.

Cell lengths 3.3931, 3.5320, 6.7328 Å; angles 90.00, 90.00, 90.00 degrees
Atoms (fractional coordinates):
Sr1 0.0000 0.0000 0.0000
Ni1 0.4983 0.5000 0.6847
Ni2 0.5017 0.5000 0.3153
Sb1 0.0000 0.0000 0.5000

Computed properties:
- raw formation energy (kJ/mol of formula units) = 10
- DOS at the Fermi energy (states/eV per atom) = 0.8535
- size of the total moment (μB per cell) = 0.00
- crystal system = monoclinic

Entry 4:
HfScMn3: relaxed, PBE.

Cell lengths 4.7298, 4.7298, 4.7298 Å; angles 90.00, 90.00, 90.00 degrees
Atoms (fractional coordinates):
Hf1 0.0000 0.0000 0.0000
Sc1 0.5000 0.5000 0.5000
Mn1 0.0000 0.0000 0.5000
Mn2 0.0000 0.5000 0.0000
Mn3 0.5000 0.0000 0.0000

Computed properties:
- DOS at the Fermi energy (states/eV per atom) = 1.4941
- size of the total moment (μB per cell) = 8.58
- crystal system = cubic
- calculated formation energy (meV per atom) = 1033.7

Entry 5:
Ni2BiPPt: relaxed, PBE.

Cell lengths 4.7293, 4.7293, 5.0971 Å; angles 90.00, 90.00, 90.00 degrees
Atoms (fractional coordinates):
Ni1 0.0000 0.5000 0.0000
Ni2 0.5000 0.0000 0.0000
Bi1 0.0000 0.0000 0.0000
P1 0.5000 0.5000 0.5000
Pt1 0.0000 0.0000 0.5000

Computed properties:
- DOS at the Fermi energy (states/eV per atom) = 0.9220
- size of the total moment (μB per cell) = 0.00
- crystal system = tetragonal
- calculated formation energy (meV per atom) = 1419.2